Computed, not measured: Pu2PaZn2Ge2 after structural relaxation at the PBE level of DFT.

Computed properties:
E = -50.5 eV per formula unit

a = 4.0470 Å, b = 4.0470 Å, c = 9.4366 Å
α = 77.62°, β = 77.62°, γ = 60.00°
Positions (direct):
Pa 0.0000 0.0000 0.0000
Zn 0.5933 0.5933 0.2201
Zn 0.4067 0.4067 0.7799
Pu 0.8490 0.8490 0.4530
Pu 0.1510 0.1510 0.5470
Ge 0.7405 0.7405 0.7784
Ge 0.2595 0.2595 0.2216